[1]
Computed, not measured: a geometry-optimized Y6AgP2 structure at the PBE level of DFT.

Values from the calculation:
volume	935.8	Å³ per cell
M_tot	0.7	μB/cell
energy of formation from the pure elements	-6.6	eV per formula unit

Cell: 21.493 3.932 11.072 Å, 90.00 90.00 90.00°
Atoms (fractional coordinates):
Y 0.022 0.250 0.119
Y 0.043 0.750 0.376
Y 0.112 0.250 0.833
Y 0.156 0.750 0.096
Y 0.172 0.250 0.527
Y 0.241 0.750 0.772
Y 0.259 0.250 0.272
Y 0.328 0.750 0.027
Y 0.344 0.250 0.596
Y 0.388 0.750 0.333
Y 0.457 0.250 0.876
Y 0.478 0.750 0.619
Y 0.522 0.250 0.381
Y 0.543 0.750 0.124
Y 0.612 0.250 0.667
Y 0.656 0.750 0.404
Y 0.672 0.250 0.973
Y 0.741 0.750 0.728
Y 0.759 0.250 0.228
Y 0.828 0.750 0.473
Y 0.844 0.250 0.904
Y 0.888 0.750 0.167
Y 0.957 0.250 0.624
Y 0.978 0.750 0.881
Ag 0.075 0.750 0.645
Ag 0.425 0.250 0.145
Ag 0.575 0.750 0.855
Ag 0.925 0.250 0.355
P 0.125 0.250 0.277
P 0.232 0.250 0.974
P 0.268 0.750 0.474
P 0.375 0.750 0.777
P 0.625 0.250 0.223
P 0.732 0.250 0.526
P 0.768 0.750 0.026
P 0.875 0.750 0.723



[2]
Computed, not measured: a geometry-optimized YAg2P structure at the PBE level of DFT.

Values from the calculation:
volume	81.1	Å³ per cell
M_tot	0.0	μB/cell
energy of formation from the pure elements	-2.0	eV per formula unit

Cell: 3.971 3.971 5.142 Å, 90.00 90.00 90.00°
Atoms (fractional coordinates):
Y 0.000 0.000 0.000
Ag 0.000 0.500 0.500
Ag 0.500 0.000 0.500
P 0.500 0.500 0.000



[3]
Computed, not measured: a geometry-optimized YAgP structure at the PBE level of DFT.

Values from the calculation:
volume	129.9	Å³ per cell
M_tot	0.0	μB/cell
energy of formation from the pure elements	-1.8	eV per formula unit

Cell: 5.189 5.189 6.916 Å, 90.76 90.76 44.24°
Atoms (fractional coordinates):
Y 0.139 0.139 0.165
Y 0.861 0.861 0.835
Ag 0.153 0.153 0.601
Ag 0.847 0.847 0.399
P 0.431 0.431 0.139
P 0.569 0.569 0.861



[4]
Computed, not measured: a geometry-optimized YAg2P structure at the PBE level of DFT.

Values from the calculation:
volume	79.4	Å³ per cell
M_tot	0.0	μB/cell
energy of formation from the pure elements	-1.3	eV per formula unit

Cell: 4.825 4.825 4.825 Å, 60.00 60.00 60.00°
Atoms (fractional coordinates):
Y 0.000 0.000 0.000
Ag 0.250 0.250 0.250
Ag 0.500 0.500 0.500
P 0.750 0.750 0.750



[5]
Computed, not measured: a geometry-optimized Zn2Ag2P structure at the PBE level of DFT.

Values from the calculation:
volume	171.1	Å³ per cell
M_tot	0.0	μB/cell
energy of formation from the pure elements	1.3	eV per formula unit

Cell: 7.792 7.792 2.817 Å, 90.00 90.00 90.00°
Atoms (fractional coordinates):
Zn 0.170 0.330 0.000
Zn 0.330 0.830 0.000
Zn 0.670 0.170 0.000
Zn 0.830 0.670 0.000
Ag 0.130 0.630 0.500
Ag 0.370 0.130 0.500
Ag 0.630 0.870 0.500
Ag 0.870 0.370 0.500
P 0.000 0.000 0.500
P 0.500 0.500 0.500



[6]
Computed, not measured: a geometry-optimized Zn3AgP structure at the PBE level of DFT.

Values from the calculation:
volume	111.9	Å³ per cell
M_tot	0.0	μB/cell
energy of formation from the pure elements	3.7	eV per formula unit

Cell: 4.819 4.819 4.819 Å, 90.00 90.00 90.00°
Atoms (fractional coordinates):
Zn 0.000 0.000 0.500
Zn 0.000 0.500 0.000
Zn 0.500 0.000 0.000
Ag 0.000 0.000 0.000
P 0.500 0.500 0.500



[7]
Computed, not measured: a geometry-optimized ZnAg3P structure at the PBE level of DFT.

Values from the calculation:
volume	113.1	Å³ per cell
M_tot	0.0	μB/cell
energy of formation from the pure elements	1.5	eV per formula unit

Cell: 4.837 4.837 4.837 Å, 90.00 90.00 90.00°
Atoms (fractional coordinates):
Zn 0.000 0.000 0.000
Ag 0.000 0.500 0.500
Ag 0.500 0.000 0.500
Ag 0.500 0.500 0.000
P 0.500 0.500 0.500



[8]
Computed, not measured: a geometry-optimized ZnAg3P structure at the PBE level of DFT.

Values from the calculation:
volume	109.3	Å³ per cell
M_tot	0.0	μB/cell
energy of formation from the pure elements	4.0	eV per formula unit

Cell: 4.781 4.781 4.781 Å, 90.00 90.00 90.00°
Atoms (fractional coordinates):
Zn 0.000 0.000 0.000
Ag 0.000 0.000 0.500
Ag 0.000 0.500 0.000
Ag 0.500 0.000 0.000
P 0.500 0.500 0.500